MgMnAs at its PBEsol-relaxed geometry, computed with SCAN.

The structure belongs to space group F-43m (No. 216); the cell edges are 6.0146, 6.0146 and 6.0146 Å and the angles 90.00°, 90.00° and 90.00°. The asymmetric unit holds Mg at (0.0000, 0.0000, 0.0000), Mn at (0.2500, 0.2500, 0.7500) and As at (0.0000, 0.0000, 0.5000).

The calculation puts the density at 4.71 g/cm3. As for the calculated total energy: -0.54032 Ha/atom. The formation energy is -0.7 eV per formula unit. The crystal system is cubic. As for the density of states at the Fermi level: 0.4548 states/eV per atom. The total magnetization is 3.95 μB/f.u.